Model w:
VASP calculation (GGA-PBE) on a geometry-optimized Ho4MgAl2 structure.

Values from the calculation:
Its density of states at the Fermi level is 1.07 states/eV/atom. The crystal system is monoclinic.

abc: 7.1806 6.4754 8.6944
angles: 90.00 111.48 90.00
Closest atoms and distances in Å follow each position.
Element x y z (fractional)
Ho 0.0391 0.2500 0.4096  2 Al 3.01-3.12, 1 Mg 3.34, 1 Ho 3.34
Ho 0.1062 0.7500 0.2663  2 Al 2.99-3.02, 1 Mg 3.14, 1 Ho 3.34
Ho 0.3966 0.0139 0.7667  4 Al 3.04-3.26, 2 Ho 3.06-3.40, 1 Mg 3.16
Ho 0.3966 0.4861 0.7667  4 Al 3.04-3.26, 2 Ho 3.06-3.40, 1 Mg 3.16
Ho 0.6034 0.5139 0.2333  4 Al 3.04-3.26, 2 Ho 3.06-3.40, 1 Mg 3.16
Ho 0.6034 0.9861 0.2333  4 Al 3.04-3.26, 2 Ho 3.06-3.40, 1 Mg 3.16
Ho 0.8938 0.2500 0.7337  2 Al 2.99-3.02, 1 Mg 3.14, 1 Ho 3.34
Ho 0.9609 0.7500 0.5904  2 Al 3.01-3.12, 1 Mg 3.34, 1 Ho 3.34
Mg 0.2062 0.2500 0.0978  2 Al 2.89-3.11, 3 Ho 3.14-3.16
Mg 0.7938 0.7500 0.9022  2 Al 2.89-3.11, 3 Ho 3.14-3.16
Al 0.2187 0.7500 0.9670  1 Mg 2.89, 4 Ho 2.99-3.12
Al 0.4795 0.2500 0.4703  6 Ho 3.01-3.23, 1 Mg 3.11, 2 Al 3.27
Al 0.5205 0.7500 0.5297  6 Ho 3.01-3.23, 1 Mg 3.11, 2 Al 3.27
Al 0.7813 0.2500 0.0330  1 Mg 2.89, 4 Ho 2.99-3.12

Model x:
VASP calculation (GGA-PBE) on a geometry-optimized Ho4MgAl2 structure.

Values from the calculation:
Its density of states at the Fermi level is 0.81 states/eV/atom. The crystal system is trigonal.

abc: 8.6900 8.6900 8.6900
angles: 34.18 34.18 34.18
Closest atoms and distances in Å follow each position.
Element x y z (fractional)
Ho 0.1148 0.1148 0.1148  4 Al 3.01-3.17, 3 Mg 3.21
Ho 0.3687 0.3687 0.3687  4 Al 3.06-3.23, 1 Mg 3.22, 3 Ho 3.42
Ho 0.6313 0.6313 0.6313  4 Al 3.06-3.23, 1 Mg 3.22, 3 Ho 3.42
Ho 0.8852 0.8852 0.8852  4 Al 3.01-3.17, 3 Mg 3.21
Mg 0.5000 0.5000 0.5000  8 Ho 3.21-3.22, 6 Al 3.51
Al 0.2440 0.2440 0.2440  8 Ho 3.01-3.23
Al 0.7560 0.7560 0.7560  8 Ho 3.01-3.23

Computed energies relative to the best structure, in meV per atom: model w 140; model x 0